#a
Material: YP3O9
Method: DFT, SCAN
State: PBEsol geometry

The structure in CIF format:
```
data_YP3O9
_space_group_name_H-M_alt 'P 1'
_space_group_IT_number 1
_cell_length_a 7.8749
_cell_length_b 7.8749
_cell_length_c 10.0941
_cell_angle_alpha 123.32
_cell_angle_beta 123.32
_cell_angle_gamma 50.80
loop_
_space_group_symop_operation_xyz
'x,y,z'
loop_
_atom_site_label
_atom_site_type_symbol
_atom_site_fract_x
_atom_site_fract_y
_atom_site_fract_z
Y1 Y 0.2342 0.7658 0.5000
Y2 Y 0.7658 0.2342 0.0000
P1 P 0.1774 0.3366 0.7720
P2 P 0.3366 0.1774 0.2720
P3 P 0.5613 0.7409 0.3344
P4 P 0.7409 0.5613 0.8344
P5 P 0.7428 0.9524 0.1630
P6 P 0.9524 0.7428 0.6630
O1 O 0.0814 0.8166 0.6567
O2 O 0.1294 0.1431 0.6314
O3 O 0.1305 0.5010 0.6968
O4 O 0.1431 0.1294 0.1314
O5 O 0.2791 0.4123 0.3964
O6 O 0.3836 0.7481 0.3565
O7 O 0.4123 0.2791 0.8964
O8 O 0.4986 0.9990 0.3754
O9 O 0.5010 0.1305 0.1968
O10 O 0.5903 0.6148 0.6730
O11 O 0.6148 0.5903 0.1730
O12 O 0.6623 0.7962 0.9794
O13 O 0.7481 0.3836 0.8565
O14 O 0.7962 0.6623 0.4794
O15 O 0.8166 0.0814 0.1567
O16 O 0.8174 0.9089 0.7838
O17 O 0.9089 0.8174 0.2838
O18 O 0.9990 0.4986 0.8754
```

#b
Material: YP3O9
Method: DFT, SCAN
State: PBEsol geometry

The structure in CIF format:
```
data_YP3O9
_space_group_name_H-M_alt 'P 1'
_space_group_IT_number 1
_cell_length_a 12.9309
_cell_length_b 12.9309
_cell_length_c 12.9309
_cell_angle_alpha 110.46
_cell_angle_beta 110.46
_cell_angle_gamma 110.46
loop_
_space_group_symop_operation_xyz
'x,y,z'
loop_
_atom_site_label
_atom_site_type_symbol
_atom_site_fract_x
_atom_site_fract_y
_atom_site_fract_z
Y1 Y 0.0000 0.0000 0.0000
Y2 Y 0.0204 0.5376 0.7304
Y3 Y 0.2696 0.9796 0.4624
Y4 Y 0.4624 0.2696 0.9796
Y5 Y 0.5000 0.5000 0.5000
Y6 Y 0.5376 0.7304 0.0204
Y7 Y 0.7304 0.0204 0.5376
Y8 Y 0.9796 0.4624 0.2696
P1 P 0.0171 0.1996 0.2983
P2 P 0.0688 0.2870 0.7665
P3 P 0.1996 0.2983 0.0171
P4 P 0.2098 0.6721 0.6242
P5 P 0.2335 0.9312 0.7130
P6 P 0.2686 0.2696 0.5187
P7 P 0.2696 0.5187 0.2686
P8 P 0.2870 0.7665 0.0688
P9 P 0.2983 0.0171 0.1996
P10 P 0.3279 0.3758 0.7902
P11 P 0.3758 0.7902 0.3279
P12 P 0.4813 0.7314 0.7304
P13 P 0.5187 0.2686 0.2696
P14 P 0.6242 0.2098 0.6721
P15 P 0.6721 0.6242 0.2098
P16 P 0.7017 0.9829 0.8004
P17 P 0.7130 0.2335 0.9312
P18 P 0.7304 0.4813 0.7314
P19 P 0.7314 0.7304 0.4813
P20 P 0.7665 0.0688 0.2870
P21 P 0.7902 0.3279 0.3758
P22 P 0.8004 0.7017 0.9829
P23 P 0.9312 0.7130 0.2335
P24 P 0.9829 0.8004 0.7017
O1 O 0.0040 0.6975 0.7133
O2 O 0.0214 0.1080 0.1926
O3 O 0.0533 0.8461 0.3258
O4 O 0.0630 0.3992 0.7635
O5 O 0.0876 0.8827 0.6785
O6 O 0.1080 0.1926 0.0214
O7 O 0.1107 0.6188 0.4858
O8 O 0.1173 0.3215 0.9124
O9 O 0.1391 0.5024 0.2301
O10 O 0.1449 0.2723 0.4382
O11 O 0.1539 0.6742 0.9467
O12 O 0.1777 0.6003 0.6887
O13 O 0.1794 0.2785 0.7427
O14 O 0.1926 0.0214 0.1080
O15 O 0.2301 0.1391 0.5024
O16 O 0.2364 0.9370 0.6008
O17 O 0.2573 0.8206 0.7215
O18 O 0.2723 0.4382 0.1449
O19 O 0.2785 0.7427 0.1794
O20 O 0.2867 0.9960 0.3025
O21 O 0.3025 0.2867 0.9960
O22 O 0.3113 0.8223 0.3997
O23 O 0.3137 0.3750 0.6621
O24 O 0.3215 0.9124 0.1173
O25 O 0.3258 0.0533 0.8461
O26 O 0.3270 0.4916 0.3706
O27 O 0.3379 0.6863 0.6250
O28 O 0.3706 0.3270 0.4916
O29 O 0.3750 0.6621 0.3137
O30 O 0.3812 0.5142 0.8893
O31 O 0.3992 0.7635 0.0630
O32 O 0.3997 0.3113 0.8223
O33 O 0.4382 0.1449 0.2723
O34 O 0.4858 0.1107 0.6188
O35 O 0.4916 0.3706 0.3270
O36 O 0.4976 0.7699 0.8609
O37 O 0.5024 0.2301 0.1391
O38 O 0.5084 0.6294 0.6730
O39 O 0.5142 0.8893 0.3812
O40 O 0.5618 0.8551 0.7277
O41 O 0.6003 0.6887 0.1777
O42 O 0.6008 0.2364 0.9370
O43 O 0.6188 0.4858 0.1107
O44 O 0.6250 0.3379 0.6863
O45 O 0.6294 0.6730 0.5084
O46 O 0.6621 0.3137 0.3750
O47 O 0.6730 0.5084 0.6294
O48 O 0.6742 0.9467 0.1539
O49 O 0.6785 0.0876 0.8827
O50 O 0.6863 0.6250 0.3379
O51 O 0.6887 0.1777 0.6003
O52 O 0.6975 0.7133 0.0040
O53 O 0.7133 0.0040 0.6975
O54 O 0.7215 0.2573 0.8206
O55 O 0.7277 0.5618 0.8551
O56 O 0.7427 0.1794 0.2785
O57 O 0.7635 0.0630 0.3992
O58 O 0.7699 0.8609 0.4976
O59 O 0.8074 0.9786 0.8920
O60 O 0.8206 0.7215 0.2573
O61 O 0.8223 0.3997 0.3113
O62 O 0.8461 0.3258 0.0533
O63 O 0.8551 0.7277 0.5618
O64 O 0.8609 0.4976 0.7699
O65 O 0.8827 0.6785 0.0876
O66 O 0.8893 0.3812 0.5142
O67 O 0.8920 0.8074 0.9786
O68 O 0.9124 0.1173 0.3215
O69 O 0.9370 0.6008 0.2364
O70 O 0.9467 0.1539 0.6742
O71 O 0.9786 0.8920 0.8074
O72 O 0.9960 0.3025 0.2867
```

Stability ranking, top entry: #b; the second entry is 0.006 eV/atom less favorable.

#a
Material: YZnPO2
Method: DFT, SCAN
State: PBEsol geometry

The structure in CIF format:
```
data_YZnPO2
_space_group_name_H-M_alt 'P 1'
_space_group_IT_number 1
_cell_length_a 4.1237
_cell_length_b 4.1237
_cell_length_c 5.8412
_cell_angle_alpha 90.00
_cell_angle_beta 90.00
_cell_angle_gamma 90.00
loop_
_space_group_symop_operation_xyz
'x,y,z'
loop_
_atom_site_label
_atom_site_type_symbol
_atom_site_fract_x
_atom_site_fract_y
_atom_site_fract_z
Y1 Y 0.0000 0.0000 0.0000
Zn1 Zn 0.5000 0.5000 0.5000
P1 P 0.0000 0.0000 0.5000
O1 O 0.0000 0.5000 0.0000
O2 O 0.5000 0.0000 0.0000
```

#b
Material: YZnPO2
Method: DFT, SCAN
State: PBEsol geometry

The structure in CIF format:
```
data_YZnPO2
_space_group_name_H-M_alt 'P 1'
_space_group_IT_number 1
_cell_length_a 3.9657
_cell_length_b 3.9657
_cell_length_c 4.4692
_cell_angle_alpha 90.00
_cell_angle_beta 90.00
_cell_angle_gamma 90.00
loop_
_space_group_symop_operation_xyz
'x,y,z'
loop_
_atom_site_label
_atom_site_type_symbol
_atom_site_fract_x
_atom_site_fract_y
_atom_site_fract_z
Y1 Y 0.0000 0.0000 0.0000
Zn1 Zn 0.5000 0.5000 0.5000
P1 P 0.5000 0.5000 0.0000
O1 O 0.0000 0.5000 0.5000
O2 O 0.5000 0.0000 0.5000
```

Stability ranking, top entry: #b; the second entry is 0.237 eV/atom less favorable.

#a
Material: Pb3O4
Method: DFT, SCAN
State: PBEsol geometry

The structure in CIF format:
```
data_Pb3O4
_space_group_name_H-M_alt 'P 1'
_space_group_IT_number 1
_cell_length_a 6.7622
_cell_length_b 9.9311
_cell_length_c 3.4450
_cell_angle_alpha 90.00
_cell_angle_beta 90.00
_cell_angle_gamma 90.00
loop_
_space_group_symop_operation_xyz
'x,y,z'
loop_
_atom_site_label
_atom_site_type_symbol
_atom_site_fract_x
_atom_site_fract_y
_atom_site_fract_z
Pb1 Pb 0.0000 0.0000 0.0000
Pb2 Pb 0.0163 0.3108 0.5000
Pb3 Pb 0.4837 0.8108 0.5000
Pb4 Pb 0.5000 0.5000 0.0000
Pb5 Pb 0.5163 0.1892 0.5000
Pb6 Pb 0.9837 0.6892 0.5000
O1 O 0.1483 0.8064 0.0000
O2 O 0.1657 0.0890 0.5000
O3 O 0.3343 0.5890 0.5000
O4 O 0.3517 0.3064 0.0000
O5 O 0.6483 0.6936 0.0000
O6 O 0.6657 0.4110 0.5000
O7 O 0.8343 0.9110 0.5000
O8 O 0.8517 0.1936 0.0000
```

#b
Material: Pb3O4
Method: DFT, SCAN
State: PBEsol geometry

The structure in CIF format:
```
data_Pb3O4
_space_group_name_H-M_alt 'P 1'
_space_group_IT_number 1
_cell_length_a 8.8189
_cell_length_b 8.8189
_cell_length_c 6.6736
_cell_angle_alpha 90.00
_cell_angle_beta 90.00
_cell_angle_gamma 90.00
loop_
_space_group_symop_operation_xyz
'x,y,z'
loop_
_atom_site_label
_atom_site_type_symbol
_atom_site_fract_x
_atom_site_fract_y
_atom_site_fract_z
Pb1 Pb 0.0000 0.5000 0.2500
Pb2 Pb 0.0000 0.5000 0.7500
Pb3 Pb 0.1426 0.1631 0.0000
Pb4 Pb 0.1631 0.8574 0.5000
Pb5 Pb 0.3369 0.3574 0.5000
Pb6 Pb 0.3574 0.6631 0.0000
Pb7 Pb 0.5000 0.0000 0.2500
Pb8 Pb 0.5000 0.0000 0.7500
Pb9 Pb 0.6426 0.3369 0.0000
Pb10 Pb 0.6631 0.6426 0.5000
Pb11 Pb 0.8369 0.1426 0.5000
Pb12 Pb 0.8574 0.8369 0.0000
O1 O 0.0930 0.6376 0.0000
O2 O 0.1376 0.5930 0.5000
O3 O 0.1725 0.3275 0.2500
O4 O 0.1725 0.3275 0.7500
O5 O 0.3275 0.8275 0.2500
O6 O 0.3275 0.8275 0.7500
O7 O 0.3624 0.0930 0.5000
O8 O 0.4070 0.1376 0.0000
O9 O 0.5930 0.8624 0.0000
O10 O 0.6376 0.9070 0.5000
O11 O 0.6725 0.1725 0.2500
O12 O 0.6725 0.1725 0.7500
O13 O 0.8275 0.6725 0.2500
O14 O 0.8275 0.6725 0.7500
O15 O 0.8624 0.4070 0.5000
O16 O 0.9070 0.3624 0.0000
```

Stability ranking, top entry: #b; the second entry is 0.025 eV/atom less favorable.

#a
Material: RePb3O
Method: DFT, SCAN
State: PBEsol geometry

The structure in CIF format:
```
data_RePb3O
_space_group_name_H-M_alt 'P 1'
_space_group_IT_number 1
_cell_length_a 4.7634
_cell_length_b 4.7634
_cell_length_c 4.7634
_cell_angle_alpha 90.00
_cell_angle_beta 90.00
_cell_angle_gamma 90.00
loop_
_space_group_symop_operation_xyz
'x,y,z'
loop_
_atom_site_label
_atom_site_type_symbol
_atom_site_fract_x
_atom_site_fract_y
_atom_site_fract_z
Re1 Re 0.0000 0.0000 0.0000
Pb1 Pb 0.0000 0.5000 0.5000
Pb2 Pb 0.5000 0.0000 0.5000
Pb3 Pb 0.5000 0.5000 0.0000
O1 O 0.5000 0.5000 0.5000
```

#b
Material: RePb3O
Method: DFT, SCAN
State: PBEsol geometry

The structure in CIF format:
```
data_RePb3O
_space_group_name_H-M_alt 'P 1'
_space_group_IT_number 1
_cell_length_a 5.2038
_cell_length_b 5.2038
_cell_length_c 5.2038
_cell_angle_alpha 90.00
_cell_angle_beta 90.00
_cell_angle_gamma 90.00
loop_
_space_group_symop_operation_xyz
'x,y,z'
loop_
_atom_site_label
_atom_site_type_symbol
_atom_site_fract_x
_atom_site_fract_y
_atom_site_fract_z
Re1 Re 0.0000 0.0000 0.0000
Pb1 Pb 0.0000 0.0000 0.5000
Pb2 Pb 0.0000 0.5000 0.0000
Pb3 Pb 0.5000 0.0000 0.0000
O1 O 0.5000 0.5000 0.5000
```

Stability ranking, top entry: #b; the second entry is 0.075 eV/atom less favorable.